# 1
The following is a DFT calculation (PBE) of a relaxed structure of Y2AsCl.

Cell lengths 5.005, 5.005, 5.005 Å; angles 60.00, 60.00, 60.00 degrees
Fractional positions:
Y: 0.250 0.250 0.250
Y: 0.750 0.750 0.750
Cl: 0.000 0.000 0.000
As: 0.500 0.500 0.500

Summary:
Its energy relative to the elements, uncorrected is -1241 meV per atom. The total energy is -24.4 eV per cell.

***

# 2
The following is a DFT calculation (PBE) of a relaxed structure of NaAs2W2.

Cell lengths 7.388, 7.388, 3.108 Å; angles 90.00, 90.00, 90.00 degrees
Fractional positions:
W: 0.639 0.861 0.500
W: 0.861 0.361 0.500
W: 0.139 0.639 0.500
W: 0.361 0.139 0.500
As: 0.150 0.350 0.000
As: 0.650 0.150 0.000
As: 0.850 0.650 0.000
As: 0.350 0.850 0.000
Na: 0.500 0.500 0.000
Na: 0.000 0.000 0.000

Summary:
For the energy above the most stable polymorph in this dataset, the calculation gives 428.8 meV/atom. For the formation energy, the calculation gives 0.3634 eV per atom. The total energy is -69.4 eV per cell.